LiIr2Ru: optimized geometry, PBEsol.

Results
- DOS at the Fermi energy (states/eV per atom) = 1.22
- V (Å³/atom) = 13.421
- distance to the lowest polymorph of the same formula (meV/atom) = 205
- E_form (eV/atom) = 0.236

abc: 2.745 4.397 4.448
angles: 90.00 90.00 90.00
Space group Pmmm (No. 47)
Inequivalent atoms, fractional coordinates:
Li  0.000  0.000  0.000 (multiplicity 1)
Ir  0.000  0.500  0.500 (multiplicity 1)
Ir  0.500  0.500  0.000 (multiplicity 1)
Ru  0.500  0.000  0.500 (multiplicity 1)